# 1
First-principles (GGA-PBE) data for an optimized crystal structure of Nd3Zn8Au, as listed in the Alexandria database.

DFT formation energy: -0.305 eV per atom
Space group: R3m

```
Nd3Zn8Au
1.0
2.742 1.583 9.023
-2.742 1.583 9.023
0.000 -3.166 9.023
Nd Zn Au
3 8 1
Direct
0.000 0.000 0.000
0.128 0.128 0.128
0.614 0.614 0.614
0.059 0.562 0.562
0.061 0.061 0.558
0.061 0.558 0.061
0.311 0.311 0.311
0.558 0.061 0.061
0.562 0.059 0.562
0.562 0.562 0.059
0.811 0.811 0.811
0.492 0.492 0.492
```

***

# 2
First-principles (GGA-PBE) data for an optimized crystal structure of NdZn6Au2, as listed in the Alexandria database.

DFT formation energy: -0.216 eV per atom
Space group: Immm

```
NdZn6Au2
1.0
-2.038 3.323 6.178
2.038 -3.323 6.178
2.038 3.323 -6.178
Nd Zn Au
1 6 2
Direct
0.000 0.000 0.000
0.014 0.311 0.703
0.319 0.500 0.819
0.392 0.689 0.703
0.608 0.311 0.297
0.681 0.500 0.181
0.986 0.689 0.297
0.376 0.876 0.500
0.624 0.124 0.500
```

***

# 3
First-principles (GGA-PBE) data for an optimized crystal structure of Nd4Zn2Au, as listed in the Alexandria database.

DFT formation energy: -0.288 eV per atom
Space group: R-3m

```
Nd4Zn2Au
1.0
2.593 1.497 8.420
-2.593 1.497 8.420
0.000 -2.994 8.420
Nd Zn Au
4 2 1
Direct
0.122 0.122 0.122
0.373 0.373 0.373
0.627 0.627 0.627
0.878 0.878 0.878
0.252 0.252 0.252
0.748 0.748 0.748
0.500 0.500 0.500
```

***

# 4
First-principles (GGA-PBE) data for an optimized crystal structure of NdZnAu, as listed in the Alexandria database.

DFT formation energy: -0.482 eV per atom
Space group: I4mm

```
NdZnAu
1.0
-1.835 1.835 4.977
1.835 -1.835 4.977
1.835 1.835 -4.977
Nd Zn Au
1 1 1
Direct
0.000 0.000 0.000
0.314 0.314 0.000
0.686 0.686 0.000
```

***

# 5
First-principles (GGA-PBE) data for an optimized crystal structure of Nd2ZnAu, as listed in the Alexandria database.

DFT formation energy: -0.540 eV per atom
Space group: Pmma

```
Nd2ZnAu
1.0
5.221 0.000 0.000
0.000 3.719 0.000
0.000 0.000 10.474
Nd Zn Au
4 2 2
Direct
0.250 0.000 0.125
0.250 0.000 0.625
0.750 0.000 0.375
0.750 0.000 0.875
0.250 0.500 0.384
0.750 0.500 0.616
0.250 0.500 0.869
0.750 0.500 0.131
```

***

# 6
First-principles (GGA-PBE) data for an optimized crystal structure of NdZn11Au, as listed in the Alexandria database.

DFT formation energy: -0.216 eV per atom
Space group: C2/m

```
NdZn11Au
1.0
2.665 -6.365 0.000
2.665 6.365 0.000
-2.613 0.000 6.333
Nd Zn Au
1 11 1
Direct
0.000 0.000 0.000
0.000 0.500 0.000
0.001 0.359 0.353
0.286 0.509 0.783
0.359 0.001 0.353
0.491 0.714 0.217
0.500 0.000 0.000
0.500 0.500 0.500
0.509 0.286 0.783
0.641 0.999 0.647
0.714 0.491 0.217
0.999 0.641 0.647
0.000 0.000 0.500
```

***

# 7
First-principles (GGA-PBE) data for an optimized crystal structure of Nd2Zn16Au, as listed in the Alexandria database.

DFT formation energy: -0.280 eV per atom
Space group: R3m

```
Nd2Zn16Au
1.0
4.537 2.619 4.441
-4.537 2.619 4.441
0.000 -5.239 4.441
Nd Zn Au
2 16 1
Direct
0.000 0.000 0.000
0.327 0.327 0.327
0.015 0.015 0.501
0.015 0.501 0.015
0.161 0.664 0.664
0.312 0.312 0.826
0.312 0.826 0.312
0.370 0.663 0.957
0.370 0.957 0.663
0.501 0.015 0.015
0.663 0.370 0.957
0.663 0.957 0.370
0.664 0.161 0.664
0.664 0.664 0.161
0.765 0.765 0.765
0.826 0.312 0.312
0.957 0.370 0.663
0.957 0.663 0.370
0.563 0.563 0.563
```

***

# 8
First-principles (GGA-PBE) data for an optimized crystal structure of NdZnAu, as listed in the Alexandria database.

DFT formation energy: -0.628 eV per atom
Space group: C2/m

```
NdZnAu
1.0
5.313 -2.321 0.000
5.313 2.321 0.000
-4.671 0.000 5.414
Nd Zn Au
2 2 2
Direct
0.031 0.031 0.287
0.969 0.969 0.713
0.340 0.340 0.885
0.660 0.660 0.115
0.323 0.323 0.290
0.677 0.677 0.710
```

***

# 9
First-principles (GGA-PBE) data for an optimized crystal structure of Nd5Zn4Au, as listed in the Alexandria database.

DFT formation energy: -0.401 eV per atom
Space group: P4/mmm

```
Nd5Zn4Au
1.0
3.706 0.000 0.000
0.000 3.706 0.000
0.000 0.000 18.320
Nd Zn Au
5 4 1
Direct
0.000 0.000 0.000
0.000 0.000 0.201
0.000 0.000 0.399
0.000 0.000 0.601
0.000 0.000 0.799
0.500 0.500 0.101
0.500 0.500 0.296
0.500 0.500 0.704
0.500 0.500 0.899
0.500 0.500 0.500
```

***

# 10
First-principles (GGA-PBE) data for an optimized crystal structure of NdZnAu, as listed in the Alexandria database.

DFT formation energy: -0.450 eV per atom
Space group: F-43m

```
NdZnAu
1.0
0.000 3.386 3.386
3.386 0.000 3.386
3.386 3.386 0.000
Nd Zn Au
1 1 1
Direct
0.000 0.000 0.000
0.500 0.500 0.500
0.250 0.250 0.250
```

***

# 11
First-principles (GGA-PBE) data for an optimized crystal structure of NdZn2Au8, as listed in the Alexandria database.

DFT formation energy: -0.132 eV per atom
Space group: P4/mmm

```
NdZn2Au8
1.0
5.568 0.000 0.000
0.000 5.568 0.000
0.000 0.000 8.291
Nd Zn Au
1 2 8
Direct
0.000 0.000 0.000
0.000 0.500 0.500
0.500 0.000 0.500
0.254 0.254 0.279
0.254 0.254 0.721
0.254 0.746 0.279
0.254 0.746 0.721
0.746 0.254 0.279
0.746 0.254 0.721
0.746 0.746 0.279
0.746 0.746 0.721
```

***

Please write out number 1 again, unchanged.
First-principles (GGA-PBE) data for an optimized crystal structure of Nd3Zn8Au, as listed in the Alexandria database.

DFT formation energy: -0.305 eV per atom
Space group: R3m

```
Nd3Zn8Au
1.0
2.742 1.583 9.023
-2.742 1.583 9.023
0.000 -3.166 9.023
Nd Zn Au
3 8 1
Direct
0.000 0.000 0.000
0.128 0.128 0.128
0.614 0.614 0.614
0.059 0.562 0.562
0.061 0.061 0.558
0.061 0.558 0.061
0.311 0.311 0.311
0.558 0.061 0.061
0.562 0.059 0.562
0.562 0.562 0.059
0.811 0.811 0.811
0.492 0.492 0.492
```

***

> Which value of DFT formation energy does entry 6 give?

-0.216 eV per atom

***

> DFT formation energy of number 8 (NdZnAu)?

-0.628 eV per atom

***

> The lowest DFT formation energy belongs to which entry?

number 8